# 1
VASP calculation (PBE) on a relaxed Mn2ReHAu crystal.

VASP energy = -0.531 Ry/atom
total magnetization = 4.181 μB/cell
SG = P4/mmm (123)
excess energy over the best structure of this formula in the dataset = 0.0 meV/atom

Unit cell a=3.9260 b=3.9260 c=3.8099 alpha=90.00 beta=90.00 gamma=90.00
Element x y z (fractional)
1 Mn 0.0000 0.5000 0.0000
2 Mn 0.5000 0.0000 0.0000
3 Re 0.0000 0.0000 0.5000
4 H 0.0000 0.0000 0.0000
5 Au 0.5000 0.5000 0.5000

---

# 2
VASP calculation (PBE) on a relaxed MgSc2MnNb crystal.

VASP energy = -0.387 Ry/atom
total magnetization = 0.033 μB/cell
SG = P4/mmm (123)
E_form = 1.431 eV per atom

Unit cell a=4.8754 b=4.8754 c=5.2302 alpha=90.00 beta=90.00 gamma=90.00
Element x y z (fractional)
1 Mg 0.0000 0.0000 0.0000
2 Sc 0.0000 0.5000 0.5000
3 Sc 0.5000 0.0000 0.5000
4 Mn 0.5000 0.5000 0.0000
5 Nb 0.0000 0.0000 0.5000

---

# 3
VASP calculation (PBE) on a relaxed Sm2HfCu crystal.

VASP energy = -0.430 Ry/atom
total magnetization = 0.000 μB/cell
SG = P4/mmm (123)
excess energy over the best structure of this formula in the dataset = 0.0 meV/atom
E_form = 0.020 eV per atom

Unit cell a=3.4364 b=3.4364 c=8.4139 alpha=90.00 beta=90.00 gamma=90.00
Element x y z (fractional)
1 Sm 0.0000 0.0000 0.2223
2 Sm 0.0000 0.0000 0.7777
3 Hf 0.5000 0.5000 0.5000
4 Cu 0.5000 0.5000 0.0000

---

- The highest total magnetization belongs to which entry?
  Mn2ReHAu